1.
A relaxed structure of FeHgCl, computed with GGA-PBE.

Cell lengths 3.097, 3.097, 12.987 Å; angles 90.00, 90.00, 90.00 degrees
Space group I4mm (No. 107)
Asymmetric unit:
Fe  0.000  0.000  0.000 x2
Hg  0.000  0.000  0.354 x2
Cl  0.000  0.000  0.605 x2

Results
Uncorrected formation energy: 6.2 kJ/mol of atoms
Energy above the lowest structure with this stoichiometry: 0.095 eV/atom
Crystal system: tetragonal


2.
A relaxed structure of CoOs2Se, computed with GGA-PBE.

Cell lengths 2.931, 4.322, 8.745 Å; angles 90.00, 90.00, 90.00 degrees
Space group Imm2 (No. 44)
Asymmetric unit:
Co  0.000  0.000  0.000 x2
Os  0.000  0.000  0.455 x2
Os  0.000  0.500  0.220 x2
Se  0.000  0.500  0.718 x2

Results
Uncorrected formation energy: 61.5 kJ/mol of atoms
Crystal system: orthorhombic


3.
A relaxed structure of Ir2RuSe, computed with GGA-PBE.

Cell lengths 2.806, 4.635, 4.674 Å; angles 90.00, 90.00, 90.00 degrees
Space group Pmmm (No. 47)
Asymmetric unit:
Ir  0.000  0.000  0.000 x1
Ir  0.500  0.500  0.000 x1
Ru  0.000  0.500  0.500 x1
Se  0.500  0.000  0.500 x1

Results
Uncorrected formation energy: 46.0 kJ/mol of atoms
Crystal system: orthorhombic


4.
A relaxed structure of Ta2AlFe, computed with GGA-PBE.

Cell lengths 2.858, 2.858, 7.661 Å; angles 90.00, 90.00, 90.00 degrees
Space group P4/mmm (No. 123)
Asymmetric unit:
Ta  0.000  0.000  0.219 x2
Al  0.500  0.500  0.500 x1
Fe  0.500  0.500  0.000 x1

Results
Crystal system: tetragonal
Energy: -9.107 eV/atom


5.
A relaxed structure of SrHg5Pb2, computed with GGA-PBE.

Cell lengths 4.941, 4.941, 18.515 Å; angles 90.00, 90.00, 90.00 degrees
Space group I4/mmm (No. 139)
Asymmetric unit:
Sr  0.000  0.000  0.000 x2
Hg  0.000  0.000  0.500 x2
Hg  0.000  0.500  0.124 x8
Pb  0.000  0.000  0.244 x4

Results
Energy above the lowest structure with this stoichiometry: 0.000 eV/atom
Crystal system: tetragonal


6.
A relaxed structure of RePtSe, computed with GGA-PBE.

Cell lengths 7.461, 3.140, 8.548 Å; angles 90.00, 90.00, 90.00 degrees
Space group Amm2 (No. 38)
Asymmetric unit:
Re  0.185  0.000  0.000 x4
Pt  0.000  0.000  0.293 x2
Pt  0.500  0.000  0.441 x2
Se  0.290  0.000  0.708 x4

Results
Uncorrected formation energy: 31.5 kJ/mol of atoms
Energy above the lowest structure with this stoichiometry: 0.126 eV/atom
Crystal system: orthorhombic


7.
A relaxed structure of LiTbSn2, computed with GGA-PBE.

Cell lengths 3.4255, 3.4255, 29.6926 Å; angles 90.00, 90.00, 120.00 degrees
Space group R-3m (No. 166, hexagonal axes)
Asymmetric unit:
Li  0.0000  0.0000  0.0000 x3
Tb  0.0000  0.0000  0.5000 x3
Sn  0.0000  0.0000  0.2560 x6

Results
Energy above the lowest structure with this stoichiometry: 0.257 eV/atom
Crystal system: trigonal


8.
A relaxed structure of CuTePd2, computed with GGA-PBE.

Cell lengths 3.962, 3.962, 18.290 Å; angles 90.00, 90.00, 90.00 degrees
Space group I-42d (No. 122)
Asymmetric unit:
Cu  0.000  0.000  0.000 x4
Te  0.000  0.000  0.500 x4
Pd  0.246  0.250  0.125 x8

Results
Uncorrected formation energy: -2.1 kJ/mol of atoms
Crystal system: tetragonal


no.,Fermi-level density of states (states/eV per cell)
1,3.519
2,9.566
3,6.113
4,3.483
5,4.247
6,9.200
7,9.648
8,12.017